La8Pb: single point on PBEsol structure, meta-GGA SCAN.

The structure in POSCAR format:
```
La8Pb
1.0
4.920 0.000 0.000
2.460 7.729 0.000
2.460 0.000 7.729
La Pb
8 1
Cartesian
2.460 0.000 2.543
4.920 0.000 5.186
4.920 2.464 2.464
2.460 2.543 0.000
2.460 2.464 5.264
4.920 5.186 0.000
4.920 5.264 5.264
2.460 5.264 2.464
0.000 0.000 0.000
```

Calculated values
- Total magnetic moment: 0.00 μB/f.u.
- Total energy: -422.2 eV/cell
- Space group: I4/mmm
- ΔE_f: -170 meV per atom